[1]
LaCuNiGe: optimized geometry, GGA-PBE.

Distance to the lowest polymorph of the same formula, eV per formula unit: 0.68
Space-group type: No. 216

Unit cell a=4.727 b=4.727 c=4.727 alpha=60.00 beta=60.00 gamma=60.00
Sites, in units of the cell vectors:
La: 0.000 0.000 0.000
Cu: 0.500 0.500 0.500
Ni: 0.750 0.750 0.750
Ge: 0.250 0.250 0.250

---

[2]
RbSm2CuTe3S: optimized geometry, GGA-PBE.

Distance to the lowest polymorph of the same formula, eV per formula unit: 0.28
Space-group type: No. 63

Unit cell a=7.799 b=7.799 c=15.560 alpha=90.00 beta=90.00 gamma=148.12
Sites, in units of the cell vectors:
Rb: 0.123 0.877 0.750
Rb: 0.877 0.123 0.250
Sm: 0.380 0.620 0.559
Sm: 0.380 0.620 0.941
Sm: 0.620 0.380 0.059
Sm: 0.620 0.380 0.441
Cu: 0.159 0.841 0.250
Cu: 0.841 0.159 0.750
Te: 0.259 0.741 0.110
Te: 0.259 0.741 0.390
Te: 0.441 0.559 0.750
Te: 0.559 0.441 0.250
Te: 0.741 0.259 0.610
Te: 0.741 0.259 0.890
S: 0.000 0.000 0.000
S: 0.000 0.000 0.500

---

[3]
InMo: optimized geometry, GGA-PBE.

Distance to the lowest polymorph of the same formula, eV per formula unit: 0.00
Space-group type: No. 187

Unit cell a=3.004 b=3.004 c=4.728 alpha=90.00 beta=90.00 gamma=120.00
Sites, in units of the cell vectors:
In: 0.000 0.000 0.000
Mo: 0.667 0.333 0.500

---

[4]
NbSI: optimized geometry, GGA-PBE.

DFT total energy, eV per atom: -5.996
Space-group type: No. 62

Unit cell a=11.765 b=3.624 c=7.239 alpha=90.00 beta=90.00 gamma=90.00
Sites, in units of the cell vectors:
Nb: 0.091 0.250 0.061
Nb: 0.409 0.750 0.561
Nb: 0.591 0.250 0.439
Nb: 0.909 0.750 0.939
S: 0.000 0.250 0.763
S: 0.000 0.750 0.237
S: 0.500 0.250 0.737
S: 0.500 0.750 0.263
I: 0.234 0.250 0.433
I: 0.266 0.750 0.933
I: 0.734 0.250 0.067
I: 0.766 0.750 0.567

---

[5]
La2NdCu4Ge4: optimized geometry, GGA-PBE.

DFT total energy, eV per atom: -4.981
Space-group type: No. 71

Unit cell a=12.644 b=12.644 c=12.644 alpha=160.65 beta=160.64 gamma=27.51
Sites, in units of the cell vectors:
La: 0.151 0.151 0.000
La: 0.849 0.849 0.000
Nd: 0.500 0.000 0.500
Cu: 0.250 0.750 0.500
Cu: 0.403 0.403 0.000
Cu: 0.597 0.597 0.000
Cu: 0.750 0.250 0.500
Ge: 0.051 0.551 0.500
Ge: 0.304 0.304 0.000
Ge: 0.696 0.696 0.000
Ge: 0.949 0.449 0.500

---

[6]
Gd2C4SBr: optimized geometry, GGA-PBE.

DFT total energy, eV per atom: -5.939
Space-group type: No. 187

Unit cell a=4.407 b=4.407 c=7.767 alpha=90.00 beta=90.00 gamma=120.00
Sites, in units of the cell vectors:
Gd: 0.000 0.000 0.231
Gd: 0.000 0.000 0.769
C: 0.333 0.667 0.083
C: 0.333 0.667 0.917
C: 0.667 0.333 0.417
C: 0.667 0.333 0.583
S: 0.667 0.333 0.000
Br: 0.333 0.667 0.500